(1)
Below is Ca2CdHg at its PBEsol-relaxed geometry, with properties calculated at the meta-GGA SCAN level.

- energy of formation from the pure elements (eV per atom) = -0.578

POSCAR file:
```
Ca2CdHg
1.0
5.281 0.000 0.000
2.640 4.573 0.000
2.640 1.524 4.312
Hg Ca Cd
1 2 1
direct
0.500 0.500 0.500 Hg
0.250 0.250 0.250 Ca
0.750 0.750 0.750 Ca
0.000 0.000 0.000 Cd
```



(2)
Below is Hf2AlI at its PBEsol-relaxed geometry, with properties calculated at the meta-GGA SCAN level.

- uncorrected formation energy (eV per atom) = 0.275

POSCAR file:
```
Hf2AlI
1.0
4.889 0.000 0.000
2.445 4.234 0.000
2.445 1.411 3.992
Hf Al I
2 1 1
direct
0.250 0.250 0.250 Hf
0.750 0.750 0.750 Hf
0.000 0.000 0.000 Al
0.500 0.500 0.500 I
```



(3)
Below is ZrSbTe2As at its PBEsol-relaxed geometry, with properties calculated at the meta-GGA SCAN level.

- uncorrected formation energy (eV per atom) = 0.399

POSCAR file:
```
ZrSbTe2As
1.0
5.424 0.000 0.000
0.000 5.424 0.000
0.000 0.000 5.585
Te Zr Sb As
2 1 1 1
direct
0.000 0.500 0.000 Te
0.500 0.000 0.000 Te
0.000 0.000 0.000 Zr
0.000 0.000 0.500 Sb
0.500 0.500 0.500 As
```



(4)
Below is ReNiP3 at its PBEsol-relaxed geometry, with properties calculated at the meta-GGA SCAN level.

- energy of formation from the pure elements (eV per atom) = 1.089

POSCAR file:
```
ReNiP3
1.0
4.550 0.000 0.000
0.000 4.550 0.000
0.000 0.000 4.550
P Ni Re
3 1 1
direct
0.000 0.000 0.500 P
0.500 0.000 0.000 P
0.000 0.500 0.000 P
0.500 0.500 0.500 Ni
0.000 0.000 0.000 Re
```



(5)
Below is YLuGa6 at its PBEsol-relaxed geometry, with properties calculated at the meta-GGA SCAN level.

- energy of formation from the pure elements (eV per atom) = -0.585

POSCAR file:
```
YLuGa6
1.0
5.980 0.000 0.000
-2.990 5.179 0.000
0.000 0.000 9.340
Ga Lu Y
12 2 2
direct
0.363 0.182 0.750 Ga
0.637 0.818 0.250 Ga
0.500 0.500 0.500 Ga
0.500 0.000 0.500 Ga
0.000 0.500 0.000 Ga
0.818 0.182 0.750 Ga
0.000 0.500 0.500 Ga
0.182 0.363 0.250 Ga
0.500 0.000 0.000 Ga
0.182 0.818 0.250 Ga
0.500 0.500 0.000 Ga
0.818 0.637 0.750 Ga
0.000 0.000 0.500 Lu
0.000 0.000 0.000 Lu
0.667 0.333 0.250 Y
0.333 0.667 0.750 Y
```



(6)
Below is In2ReSi at its PBEsol-relaxed geometry, with properties calculated at the meta-GGA SCAN level.

- uncorrected formation energy (eV per atom) = 0.410

POSCAR file:
```
In2ReSi
1.0
2.787 0.000 0.000
0.000 4.794 0.000
-1.393 -2.397 5.958
Si In Re
1 2 1
direct
0.811 0.311 0.623 Si
0.003 0.003 0.007 In
0.200 0.700 0.400 In
0.485 0.485 0.970 Re
```



What did the third record say?
Below is ZrSbTe2As at its PBEsol-relaxed geometry, with properties calculated at the meta-GGA SCAN level.

- uncorrected formation energy (eV per atom) = 0.399

POSCAR file:
```
ZrSbTe2As
1.0
5.424 0.000 0.000
0.000 5.424 0.000
0.000 0.000 5.585
Te Zr Sb As
2 1 1 1
direct
0.000 0.500 0.000 Te
0.500 0.000 0.000 Te
0.000 0.000 0.000 Zr
0.000 0.000 0.500 Sb
0.500 0.500 0.500 As
```



Repeat the first record exactly.
Below is Ca2CdHg at its PBEsol-relaxed geometry, with properties calculated at the meta-GGA SCAN level.

- energy of formation from the pure elements (eV per atom) = -0.578

POSCAR file:
```
Ca2CdHg
1.0
5.281 0.000 0.000
2.640 4.573 0.000
2.640 1.524 4.312
Hg Ca Cd
1 2 1
direct
0.500 0.500 0.500 Hg
0.250 0.250 0.250 Ca
0.750 0.750 0.750 Ca
0.000 0.000 0.000 Cd
```